Entry 1:
Tb6AlTl3 | PBE-GGA | relaxed

The calculation puts the formation energy from the elements at -274 meV/atom.

The structure belongs to space group P2_1/m (No. 11); the cell edges are 9.438, 5.273 and 11.635 Å and the angles 90.00°, 106.29° and 90.00°. The asymmetric unit holds Tb at (0.035, 0.250, 0.406), Tb at (0.163, 0.750, 0.174), Tb at (0.270, 0.250, 0.000), Tb at (0.354, 0.750, 0.825), Tb at (0.370, 0.250, 0.330), Tb at (0.396, 0.250, 0.623), Al at (0.452, 0.750, 0.109), Tl at (0.026, 0.750, 0.888), Tl at (0.121, 0.250, 0.717) and Tl at (0.277, 0.750, 0.469).

Entry 2:
ErAlPd4 | PBE-GGA | relaxed

The calculation puts the formation energy from the elements at -591 meV/atom.

The structure belongs to space group C2/m (No. 12); the cell edges are 7.245, 4.207 and 7.879 Å and the angles 90.00°, 107.71° and 90.00°. The asymmetric unit holds Er at (0.000, 0.000, 0.000), Al at (0.000, 0.500, 0.500), Pd at (0.109, 0.500, 0.829) and Pd at (0.130, 0.000, 0.390).

Entry 3:
LiAlIr | PBE-GGA | relaxed

The calculation puts the formation energy from the elements at -521 meV/atom.

The structure belongs to space group P3m1 (No. 156); the cell edges are 4.0629, 4.0629 and 2.7797 Å and the angles 90.00°, 90.00° and 120.00°. The asymmetric unit holds Li at (0.0000, 0.0000, 0.0000), Al at (0.6667, 0.3333, 0.2300) and Ir at (0.3333, 0.6667, 0.6222).

Entry 4:
DyScPt2 | PBE-GGA | relaxed

For the energy above the most stable polymorph in this dataset, the calculation gives 0.0279 eV/atom. The calculation puts the formation energy from the elements at -1194 meV/atom.

The structure belongs to space group Fm-3m (No. 225); the cell edges are 6.812, 6.812 and 6.812 Å and the angles 90.00°, 90.00° and 90.00°. The asymmetric unit holds Dy at (0.000, 0.000, 0.000), Sc at (0.000, 0.000, 0.500) and Pt at (0.250, 0.250, 0.250).

Entry 5:
ScNi | PBE-GGA | relaxed

The calculation puts the formation energy from the elements at -454 meV/atom.

The structure belongs to space group P2_12_12_1 (No. 19); the cell edges are 4.976, 5.188 and 10.127 Å and the angles 90.00°, 90.00° and 90.00°. The asymmetric unit holds Sc at (0.153, 0.075, 0.023), Sc at (0.157, 0.643, 0.808), Ni at (0.144, 0.856, 0.276) and Ni at (0.169, 0.585, 0.072).

Entry 6:
SiSb2 | PBE-GGA | relaxed

For the energy above the most stable polymorph in this dataset, the calculation gives 0.0362 eV/atom. For the uncorrected formation energy, the calculation gives 0.217 eV/atom.

The structure belongs to space group Cmcm (No. 63); the cell edges are 4.083, 12.468 and 5.860 Å and the angles 90.00°, 90.00° and 90.00°. The asymmetric unit holds Si at (0.000, 0.175, 0.250), Sb at (0.000, 0.174, 0.750) and Sb at (0.000, 0.477, 0.750).

Entry 7:
Ho2GaGePt6 | PBE-GGA | relaxed

The calculation puts the formation energy from the elements at -811 meV/atom.

The structure belongs to space group R-3m (No. 166, hexagonal axes); the cell edges are 5.5936, 5.5936 and 23.2764 Å and the angles 90.00°, 90.00° and 120.00°. The asymmetric unit holds Ho at (0.0000, 0.0000, 0.2029), Ga at (0.0000, 0.0000, 0.0000), Ge at (0.0000, 0.0000, 0.5000) and Pt at (0.0043, 0.5021, 0.7532).

Entry 8:
Ta6RhW5 | PBE-GGA | relaxed

The calculation puts the formation energy from the elements at -185 meV/atom.

The structure belongs to space group Immm (No. 71); the cell edges are 4.580, 6.457 and 13.722 Å and the angles 90.00°, 90.00° and 90.00°. The asymmetric unit holds Ta at (0.000, 0.247, 0.000), Ta at (0.000, 0.251, 0.333), Rh at (0.000, 0.000, 0.500), W at (0.000, 0.000, 0.167), W at (0.000, 0.500, 0.166) and W at (0.000, 0.500, 0.500).

Entry 9:
ZrTi4Sn2 | PBE-GGA | relaxed

For the energy above the most stable polymorph in this dataset, the calculation gives 0.0000 eV/atom. The calculation puts the formation energy from the elements at -129 meV/atom.

The structure belongs to space group P4_2/mnm (No. 136); the cell edges are 8.969, 8.969 and 3.595 Å and the angles 90.00°, 90.00° and 90.00°. The asymmetric unit holds Zr at (0.000, 0.000, 0.000), Ti at (0.073, 0.349, 0.500) and Sn at (0.192, 0.808, 0.500).

Entry 10:
KHg2B2O6 | PBE-GGA | relaxed

For the uncorrected formation energy, the calculation gives -1.378 eV/atom.

The structure belongs to space group P-1 (No. 2); the cell edges are 5.845, 5.931 and 6.117 Å and the angles 88.13°, 63.78° and 73.34°. The asymmetric unit holds K at (0.000, 0.000, 0.000), Hg at (0.404, 0.705, 0.276), B at (0.325, 0.223, 0.384), O at (0.246, 0.070, 0.283), O at (0.249, 0.251, 0.627) and O at (0.489, 0.342, 0.212).

Entry 11:
Ca3Zn2Cu4 | PBE-GGA | relaxed

For the energy above the most stable polymorph in this dataset, the calculation gives 0.0292 eV/atom. The calculation puts the formation energy from the elements at -172 meV/atom.

The structure belongs to space group C2/m (No. 12); the cell edges are 10.537, 4.373 and 8.356 Å and the angles 90.00°, 109.02° and 90.00°. The asymmetric unit holds Ca at (0.000, 0.000, 0.000), Ca at (0.137, 0.500, 0.692), Zn at (0.164, 0.500, 0.330), Cu at (0.090, 0.000, 0.425) and Cu at (0.229, 0.500, 0.064).

Entry 12:
LiVRh2 | PBE-GGA | relaxed

For the energy above the most stable polymorph in this dataset, the calculation gives 0.0000 eV/atom. The calculation puts the formation energy from the elements at -415 meV/atom.

The structure belongs to space group Fm-3m (No. 225); the cell edges are 5.917, 5.917 and 5.917 Å and the angles 90.00°, 90.00° and 90.00°. The asymmetric unit holds Li at (0.000, 0.000, 0.000), V at (0.000, 0.000, 0.500) and Rh at (0.250, 0.250, 0.250).

| no. | Fermi-level density of states (states/eV per cell) | magnetization (μB per formula unit) |
| --- | --- | --- |
| 1 | 20.23 | 0.00 |
| 2 | 0.46 | 0.00 |
| 3 | 1.05 | 0.00 |
| 4 | 13.28 | 0.00 |
| 5 | 11.73 | 0.00 |
| 6 | 3.69 | 0.00 |
| 7 | 10.94 | 0.00 |
| 8 | 14.71 | 0.00 |
| 9 | 20.38 | 0.00 |
| 10 | 2.30 | 1.04 |
| 11 | 8.01 | 0.00 |
| 12 | 8.72 | 0.00 |